(1)
# SrCdIn2Bi, relaxed, DFT PBE
data_SrCdIn2Bi
_chemical_formula_sum 'Sr1 Cd1 In2 Bi1'
_cell_length_a 6.4060
_cell_length_b 6.4060
_cell_length_c 6.1314
_cell_angle_alpha 90.00
_cell_angle_beta 90.00
_cell_angle_gamma 90.00
_symmetry_space_group_name_H-M 'P 4/m m m'
_symmetry_Int_Tables_number 123
_symmetry_space_group_name_Hall '-P 4 2'
loop_
_atom_site_label
_atom_site_fract_x
_atom_site_fract_y
_atom_site_fract_z
_atom_site_occupancy
Sr1 0.0000 0.0000 0.0000 1
Cd1 0.5000 0.5000 0.5000 1
In1 0.0000 0.5000 0.0000 1
Bi1 0.0000 0.0000 0.5000 1
# Calculated total energy ... -8.967 eV/cell



(2)
# FeCoCl2, relaxed, DFT PBE
data_FeCoCl2
_chemical_formula_sum 'Fe3 Co3 Cl6'
_cell_length_a 3.2973
_cell_length_b 3.2973
_cell_length_c 20.5569
_cell_angle_alpha 90.00
_cell_angle_beta 90.00
_cell_angle_gamma 120.00
_symmetry_space_group_name_H-M 'R -3 m'
_symmetry_Int_Tables_number 166
_symmetry_space_group_name_Hall '-R 3 2"'
loop_
_atom_site_label
_atom_site_fract_x
_atom_site_fract_y
_atom_site_fract_z
_atom_site_occupancy
Fe1 0.0000 0.0000 0.0000 1
Co1 0.0000 0.0000 0.5000 1
Cl1 0.0000 0.0000 0.3953 1
# Calculated total energy ... -53.963 eV/cell



(3)
# LiCaAlRh, relaxed, DFT PBE
data_LiCaAlRh
_chemical_formula_sum 'Li4 Ca4 Al4 Rh4'
_cell_length_a 6.5582
_cell_length_b 6.5582
_cell_length_c 6.5582
_cell_angle_alpha 90.00
_cell_angle_beta 90.00
_cell_angle_gamma 90.00
_symmetry_space_group_name_H-M 'F -4 3 m'
_symmetry_Int_Tables_number 216
_symmetry_space_group_name_Hall 'F -4 2 3'
loop_
_atom_site_label
_atom_site_fract_x
_atom_site_fract_y
_atom_site_fract_z
_atom_site_occupancy
Li1 0.0000 0.0000 0.0000 1
Ca1 0.2500 0.2500 0.2500 1
Al1 0.2500 0.2500 0.7500 1
Rh1 0.0000 0.0000 0.5000 1
# Calculated total energy ... -66.264 eV/cell



(4)
# TiIn2Cl6, relaxed, DFT PBE
data_TiIn2Cl6
_chemical_formula_sum 'Ti2 In4 Cl12'
_cell_length_a 6.9457
_cell_length_b 8.0735
_cell_length_c 11.7173
_cell_angle_alpha 90.00
_cell_angle_beta 124.45
_cell_angle_gamma 90.00
_symmetry_space_group_name_H-M 'P 1 21/c 1'
_symmetry_Int_Tables_number 14
_symmetry_space_group_name_Hall '-P 2ybc'
loop_
_atom_site_label
_atom_site_fract_x
_atom_site_fract_y
_atom_site_fract_z
_atom_site_occupancy
Ti1 0.0000 0.0000 0.0000 1
In1 0.2750 0.0967 0.7562 1
Cl1 0.1494 0.0301 0.2372 1
Cl2 0.2143 0.7479 0.5496 1
Cl3 0.3203 0.1558 0.0355 1
# Polymorph energy (0 for the lowest one) ... 0 meV per atom



(5)
# AsSe4, relaxed, DFT PBE
data_AsSe4
_chemical_formula_sum 'As2 Se8'
_cell_length_a 5.3561
_cell_length_b 5.3561
_cell_length_c 8.7069
_cell_angle_alpha 90.00
_cell_angle_beta 90.00
_cell_angle_gamma 90.00
_symmetry_space_group_name_H-M 'I 4/m m m'
_symmetry_Int_Tables_number 139
_symmetry_space_group_name_Hall '-I 4 2'
loop_
_atom_site_label
_atom_site_fract_x
_atom_site_fract_y
_atom_site_fract_z
_atom_site_occupancy
As1 0.0000 0.0000 0.0000 1
Se1 0.0000 0.0000 0.3045 1
Se2 0.0000 0.5000 0.2500 1
# Polymorph energy (0 for the lowest one) ... 140 meV per atom



(6)
# CsSmBr2, relaxed, DFT PBE
data_CsSmBr2
_chemical_formula_sum 'Cs3 Sm3 Br6'
_cell_length_a 3.9896
_cell_length_b 3.9896
_cell_length_c 33.3434
_cell_angle_alpha 90.00
_cell_angle_beta 90.00
_cell_angle_gamma 120.00
_symmetry_space_group_name_H-M 'R -3 m'
_symmetry_Int_Tables_number 166
_symmetry_space_group_name_Hall '-R 3 2"'
loop_
_atom_site_label
_atom_site_fract_x
_atom_site_fract_y
_atom_site_fract_z
_atom_site_occupancy
Cs1 0.0000 0.0000 0.0000 1
Sm1 0.0000 0.0000 0.5000 1
Br1 0.0000 0.0000 0.1067 1
# Calculated total energy ... -40.390 eV/cell



(7)
# PmNd3Co, relaxed, DFT PBE
data_PmNd3Co
_chemical_formula_sum 'Pm2 Nd6 Co2'
_cell_length_a 7.6774
_cell_length_b 6.5176
_cell_length_c 6.3138
_cell_angle_alpha 90.00
_cell_angle_beta 90.00
_cell_angle_gamma 90.00
_symmetry_space_group_name_H-M 'P m n 21'
_symmetry_Int_Tables_number 31
_symmetry_space_group_name_Hall 'P 2ac -2'
loop_
_atom_site_label
_atom_site_fract_x
_atom_site_fract_y
_atom_site_fract_z
_atom_site_occupancy
Pm1 0.0000 0.1571 0.0000 1
Nd1 0.0000 0.8448 0.4969 1
Nd2 0.2503 0.3272 0.4988 1
Co1 0.0000 0.4990 0.7488 1
# Polymorph energy (0 for the lowest one) ... 69 meV per atom



(8)
# Ti2TeN, relaxed, DFT PBE
data_Ti2TeN
_chemical_formula_sum 'Ti8 Te4 N4'
_cell_length_a 5.3210
_cell_length_b 5.3210
_cell_length_c 10.6533
_cell_angle_alpha 90.00
_cell_angle_beta 90.00
_cell_angle_gamma 90.00
_symmetry_space_group_name_H-M 'I -4 2 d'
_symmetry_Int_Tables_number 122
_symmetry_space_group_name_Hall 'I -4 2bw'
loop_
_atom_site_label
_atom_site_fract_x
_atom_site_fract_y
_atom_site_fract_z
_atom_site_occupancy
Ti1 0.1241 0.2500 0.1250 1
Te1 0.0000 0.0000 0.5000 1
N1 0.0000 0.0000 0.0000 1
# Polymorph energy (0 for the lowest one) ... 261 meV per atom



(9)
# BaDyZn2, relaxed, DFT PBE
data_BaDyZn2
_chemical_formula_sum 'Ba1 Dy1 Zn2'
_cell_length_a 3.7769
_cell_length_b 3.7769
_cell_length_c 7.7761
_cell_angle_alpha 90.00
_cell_angle_beta 90.00
_cell_angle_gamma 90.00
_symmetry_space_group_name_H-M 'P 4/m m m'
_symmetry_Int_Tables_number 123
_symmetry_space_group_name_Hall '-P 4 2'
loop_
_atom_site_label
_atom_site_fract_x
_atom_site_fract_y
_atom_site_fract_z
_atom_site_occupancy
Ba1 0.0000 0.0000 0.0000 1
Dy1 0.0000 0.0000 0.5000 1
Zn1 0.5000 0.5000 0.3072 1
# Calculated total energy ... -9.955 eV/cell



(10)
# Zr2CdAu, relaxed, DFT PBE
data_Zr2CdAu
_chemical_formula_sum 'Zr4 Cd2 Au2'
_cell_length_a 11.1650
_cell_length_b 3.2134
_cell_length_c 5.2114
_cell_angle_alpha 90.00
_cell_angle_beta 115.88
_cell_angle_gamma 90.00
_symmetry_space_group_name_H-M 'C 1 m 1'
_symmetry_Int_Tables_number 8
_symmetry_space_group_name_Hall 'C -2y'
loop_
_atom_site_label
_atom_site_fract_x
_atom_site_fract_y
_atom_site_fract_z
_atom_site_occupancy
Zr1 0.0000 0.0000 0.0000 1
Zr2 0.2427 0.0000 0.8367 1
Cd1 0.2684 0.5000 0.3612 1
Au1 0.0052 0.5000 0.4897 1
# Calculated total energy ... -44.502 eV/cell



(11)
# PrIn3Ag3, relaxed, DFT PBE
data_PrIn3Ag3
_chemical_formula_sum 'Pr2 In6 Ag6'
_cell_length_a 7.4998
_cell_length_b 7.4998
_cell_length_c 7.4998
_cell_angle_alpha 90.00
_cell_angle_beta 90.00
_cell_angle_gamma 90.00
_symmetry_space_group_name_H-M 'P m -3 n'
_symmetry_Int_Tables_number 223
_symmetry_space_group_name_Hall '-P 4n 2 3'
loop_
_atom_site_label
_atom_site_fract_x
_atom_site_fract_y
_atom_site_fract_z
_atom_site_occupancy
Pr1 0.0000 0.0000 0.0000 1
In1 0.0000 0.2500 0.5000 1
Ag1 0.0000 0.5000 0.2500 1
# Polymorph energy (0 for the lowest one) ... 424 meV per atom



(12)
# BaZnSb3, relaxed, DFT PBE
data_BaZnSb3
_chemical_formula_sum 'Ba1 Zn1 Sb3'
_cell_length_a 6.3500
_cell_length_b 6.3500
_cell_length_c 6.3500
_cell_angle_alpha 90.00
_cell_angle_beta 90.00
_cell_angle_gamma 90.00
_symmetry_space_group_name_H-M 'P m -3 m'
_symmetry_Int_Tables_number 221
_symmetry_space_group_name_Hall '-P 4 2 3'
loop_
_atom_site_label
_atom_site_fract_x
_atom_site_fract_y
_atom_site_fract_z
_atom_site_occupancy
Ba1 0.0000 0.0000 0.0000 1
Zn1 0.5000 0.5000 0.5000 1
Sb1 0.0000 0.0000 0.5000 1
# Polymorph energy (0 for the lowest one) ... 1167 meV per atom